[1]
Zr2Si2Bi after structural relaxation, computed with PBE-GGA.

Geometry as POSCAR:
```
Zr2Si2Bi
1.0
-1.838 1.838 7.609
1.838 -1.838 7.609
1.838 1.838 -7.609
Zr Si Bi
2 2 1
Direct
0.113 0.113 0.000
0.887 0.887 0.000
0.250 0.750 0.500
0.750 0.250 0.500
0.500 0.500 0.000
```

Calculated total energy (eV/atom): -6.8422
ρ (g cm⁻³): 7.2
Offset from the most stable computed form (meV per atom): 0
Magnetic moment (μB/f.u.): 0.00



[2]
Zr2Si2Bi after structural relaxation, computed with PBE-GGA.

Geometry as POSCAR:
```
Zr2Si2Bi
1.0
7.353 0.000 0.000
0.000 7.353 0.000
0.000 0.000 3.723
Zr Si Bi
4 4 2
Direct
0.177 0.323 0.000
0.323 0.823 0.000
0.677 0.177 0.000
0.823 0.677 0.000
0.115 0.615 0.500
0.385 0.115 0.500
0.615 0.885 0.500
0.885 0.385 0.500
0.000 0.000 0.500
0.500 0.500 0.500
```

Calculated total energy (eV/atom): -6.7257
ρ (g cm⁻³): 7.4
Offset from the most stable computed form (meV per atom): 117
Magnetic moment (μB/f.u.): 0.00



[3]
ZrSiBi3 after structural relaxation, computed with PBE-GGA.

Geometry as POSCAR:
```
ZrSiBi3
1.0
5.339 0.000 0.000
0.000 5.339 0.000
0.000 0.000 5.339
Zr Si Bi
1 1 3
Direct
0.000 0.000 0.000
0.500 0.500 0.500
0.000 0.500 0.500
0.500 0.000 0.500
0.500 0.500 0.000
```

Calculated total energy (eV/atom): -4.3480
ρ (g cm⁻³): 8.1
Offset from the most stable computed form (meV per atom): 24
Magnetic moment (μB/f.u.): 0.00



[4]
Zr5Si2Bi2 after structural relaxation, computed with PBE-GGA.

Geometry as POSCAR:
```
Zr5Si2Bi2
1.0
7.382 -3.664 0.000
7.382 3.664 0.000
0.000 0.000 7.266
Zr Si Bi
10 4 4
Direct
0.000 0.000 0.000
0.049 0.715 0.672
0.215 0.549 0.172
0.285 0.951 0.672
0.451 0.785 0.172
0.500 0.500 0.500
0.549 0.215 0.828
0.715 0.049 0.328
0.785 0.451 0.828
0.951 0.285 0.328
0.123 0.877 0.378
0.377 0.623 0.878
0.623 0.377 0.122
0.877 0.123 0.622
0.212 0.212 0.000
0.288 0.288 0.500
0.712 0.712 0.500
0.788 0.788 0.000
```

Calculated total energy (eV/atom): -7.4926
ρ (g cm⁻³): 7.9
Magnetic moment (μB/f.u.): 0.00